(1)
Compound: CeSmScTl
Source: Alexandria
Functional: PBE
Structure: optimized geometry

```
data_CeSmScTl
_chemical_formula_sum 'Ce4 Sm4 Sc4 Tl4'
_cell_length_a 7.520
_cell_length_b 7.520
_cell_length_c 7.520
_cell_angle_alpha 90.00
_cell_angle_beta 90.00
_cell_angle_gamma 90.00
_symmetry_space_group_name_H-M 'F -4 3 m'
_symmetry_Int_Tables_number 216
_symmetry_space_group_name_Hall 'F -4 2 3'
loop_
_atom_site_label
_atom_site_type_symbol
_atom_site_fract_x
_atom_site_fract_y
_atom_site_fract_z
_atom_site_occupancy
Ce1 Ce 0.000 0.000 0.000 1
Sm1 Sm 0.250 0.250 0.750 1
Sc1 Sc 0.250 0.250 0.250 1
Tl1 Tl 0.000 0.000 0.500 1
```

Properties
The value obtained for the energy of formation is 0.0178 eV/atom. The calculation puts the density at 8.4 g cm⁻³. The calculation puts the total magnetic moment at 3.88 μB/cell.

(2)
Compound: Tb2AlS
Source: Alexandria
Functional: PBE
Structure: optimized geometry

```
data_Tb2AlS
_chemical_formula_sum 'Tb6 Al3 S3'
_cell_length_a 3.7707
_cell_length_b 3.7707
_cell_length_c 23.8303
_cell_angle_alpha 90.00
_cell_angle_beta 90.00
_cell_angle_gamma 120.00
_symmetry_space_group_name_H-M 'R 3 m'
_symmetry_Int_Tables_number 160
_symmetry_space_group_name_Hall 'R 3 -2"'
loop_
_atom_site_label
_atom_site_type_symbol
_atom_site_fract_x
_atom_site_fract_y
_atom_site_fract_z
_atom_site_occupancy
Tb1 Tb 0.0000 0.0000 0.0000 1
Tb2 Tb 0.0000 0.0000 0.1925 1
Al1 Al 0.0000 0.0000 0.7632 1
S1 S 0.0000 0.0000 0.5951 1
```

Properties
The formation energy (no corrections) is -1.05 eV/atom. The calculation puts the density at 6.4 g cm⁻³. The calculation puts the total magnetic moment at 0.00 μB/cell.

(3)
Compound: SrYAlHg
Source: Alexandria
Functional: PBE
Structure: optimized geometry

```
data_SrYAlHg
_chemical_formula_sum 'Sr4 Y4 Al4 Hg4'
_cell_length_a 7.650
_cell_length_b 7.650
_cell_length_c 7.650
_cell_angle_alpha 90.00
_cell_angle_beta 90.00
_cell_angle_gamma 90.00
_symmetry_space_group_name_H-M 'F -4 3 m'
_symmetry_Int_Tables_number 216
_symmetry_space_group_name_Hall 'F -4 2 3'
loop_
_atom_site_label
_atom_site_type_symbol
_atom_site_fract_x
_atom_site_fract_y
_atom_site_fract_z
_atom_site_occupancy
Sr1 Sr 0.000 0.000 0.000 1
Y1 Y 0.000 0.000 0.500 1
Al1 Al 0.250 0.250 0.750 1
Hg1 Hg 0.250 0.250 0.250 1
```

Properties
The value obtained for the energy of formation is -0.3126 eV/atom. The calculation puts the density at 6.0 g cm⁻³. The calculation puts the total magnetic moment at 0.00 μB/cell.

(4)
Compound: Pm7PrEr3
Source: Alexandria
Functional: PBE
Structure: optimized geometry

```
data_Pm7PrEr3
_chemical_formula_sum 'Pm7 Pr1 Er3'
_cell_length_a 7.1951
_cell_length_b 7.1951
_cell_length_c 8.6628
_cell_angle_alpha 90.00
_cell_angle_beta 90.00
_cell_angle_gamma 120.00
_symmetry_space_group_name_H-M 'P 3 m 1'
_symmetry_Int_Tables_number 156
loop_
_symmetry_equiv_pos_as_xyz
'x,y,z'
'-y,x-y,z'
'-x+y,-x,z'
'-y,-x,z'
'-x+y,y,z'
'x,x-y,z'
loop_
_atom_site_label
_atom_site_type_symbol
_atom_site_fract_x
_atom_site_fract_y
_atom_site_fract_z
_atom_site_occupancy
Pm1 Pm 0.0000 0.0000 0.0000 1
Pm2 Pm 0.1660 0.3319 0.3338 1
Pm3 Pm 0.5005 0.0010 0.9853 1
Pr1 Pr 0.6667 0.3333 0.3185 1
Er1 Er 0.3326 0.1663 0.6604 1
```

Properties
The value obtained for the energy of formation is 0.1908 eV/atom. The calculation puts the density at 7.1 g cm⁻³. The calculation puts the total magnetic moment at 0.00 μB/cell.

(5)
Compound: VCrCuBr
Source: Alexandria
Functional: PBE
Structure: optimized geometry

```
data_VCrCuBr
_chemical_formula_sum 'V2 Cr2 Cu2 Br2'
_cell_length_a 14.037
_cell_length_b 3.114
_cell_length_c 3.291
_cell_angle_alpha 90.00
_cell_angle_beta 91.63
_cell_angle_gamma 90.00
_symmetry_space_group_name_H-M 'C 1 m 1'
_symmetry_Int_Tables_number 8
loop_
_symmetry_equiv_pos_as_xyz
'x,y,z'
'x,-y,z'
'x+1/2,y+1/2,z'
'x+1/2,-y+1/2,z'
loop_
_atom_site_label
_atom_site_type_symbol
_atom_site_fract_x
_atom_site_fract_y
_atom_site_fract_z
_atom_site_occupancy
V1 V 0.000 0.000 0.000 1
Cr1 Cr 0.087 0.500 0.511 1
Cu1 Cu 0.184 0.000 0.024 1
Br1 Br 0.358 0.000 0.932 1
```

Properties
The formation energy (no corrections) is 0.26 eV/atom. The calculation puts the density at 5.7 g cm⁻³. The calculation puts the total magnetic moment at 2.69 μB/cell.

(6)
Compound: Pm4HoHg2
Source: Alexandria
Functional: PBE
Structure: optimized geometry

```
data_Pm4HoHg2
_chemical_formula_sum 'Pm8 Ho2 Hg4'
_cell_length_a 6.696
_cell_length_b 8.615
_cell_length_c 8.686
_cell_angle_alpha 114.87
_cell_angle_beta 99.45
_cell_angle_gamma 104.08
_symmetry_space_group_name_H-M 'P 1'
_symmetry_Int_Tables_number 1
loop_
_symmetry_equiv_pos_as_xyz
'x,y,z'
loop_
_atom_site_label
_atom_site_type_symbol
_atom_site_fract_x
_atom_site_fract_y
_atom_site_fract_z
_atom_site_occupancy
Pm1 Pm 0.000 0.000 0.000 1
Pm2 Pm 0.006 0.785 0.542 1
Pm3 Pm 0.314 0.098 0.406 1
Pm4 Pm 0.380 0.710 0.155 1
Pm5 Pm 0.560 0.561 0.705 1
Pm6 Pm 0.574 0.390 0.248 1
Pm7 Pm 0.851 0.183 0.451 1
Pm8 Pm 0.859 0.363 0.944 1
Ho1 Ho 0.290 0.250 0.815 1
Ho2 Ho 0.555 0.910 0.626 1
Hg1 Hg 0.090 0.590 0.770 1
Hg2 Hg 0.152 0.449 0.339 1
Hg3 Hg 0.484 0.986 0.983 1
Hg4 Hg 0.855 0.751 0.166 1
```

Properties
The value obtained for the energy of formation is -0.2022 eV/atom. The calculation puts the density at 9.1 g cm⁻³. The calculation puts the total magnetic moment at 0.00 μB/cell.

(7)
Compound: Ac2SnAsPt6
Source: Alexandria
Functional: PBE
Structure: optimized geometry

```
data_Ac2SnAsPt6
_chemical_formula_sum 'Ac4 Sn2 As2 Pt12'
_cell_length_a 12.275
_cell_length_b 5.616
_cell_length_c 8.735
_cell_angle_alpha 90.00
_cell_angle_beta 131.56
_cell_angle_gamma 90.00
_symmetry_space_group_name_H-M 'C 1 2/m 1'
_symmetry_Int_Tables_number 12
loop_
_symmetry_equiv_pos_as_xyz
'x,y,z'
'-x,-y,-z'
'-x,y,-z'
'x,-y,z'
'x+1/2,y+1/2,z'
'-x+1/2,-y+1/2,-z'
'-x+1/2,y+1/2,-z'
'x+1/2,-y+1/2,z'
loop_
_atom_site_label
_atom_site_type_symbol
_atom_site_fract_x
_atom_site_fract_y
_atom_site_fract_z
_atom_site_occupancy
Ac1 Ac 0.249 0.000 0.286 1
Sn1 Sn 0.000 0.000 0.500 1
As1 As 0.000 0.500 0.000 1
Pt1 Pt 0.005 0.254 0.762 1
Pt2 Pt 0.249 0.500 0.106 1
```

Properties
The value obtained for the energy of formation is -0.8001 eV/atom. The calculation puts the density at 13.4 g cm⁻³. The calculation puts the total magnetic moment at 0.00 μB/cell.

(8)
Compound: InGaNiS4
Source: Alexandria
Functional: PBE
Structure: optimized geometry

```
data_InGaNiS4
_chemical_formula_sum 'In4 Ga4 Ni4 S16'
_cell_length_a 7.241
_cell_length_b 7.348
_cell_length_c 10.343
_cell_angle_alpha 90.00
_cell_angle_beta 90.00
_cell_angle_gamma 90.00
_symmetry_space_group_name_H-M 'I m m a'
_symmetry_Int_Tables_number 74
_symmetry_space_group_name_Hall '-I 2b 2'
loop_
_atom_site_label
_atom_site_type_symbol
_atom_site_fract_x
_atom_site_fract_y
_atom_site_fract_z
_atom_site_occupancy
In1 In 0.000 0.000 0.000 1
Ga1 Ga 0.000 0.250 0.368 1
Ni1 Ni 0.250 0.250 0.750 1
S1 S 0.000 0.029 0.749 1
S2 S 0.247 0.250 0.516 1
```

Properties
The formation energy (no corrections) is -0.43 eV/atom. The calculation puts the density at 4.5 g cm⁻³. The calculation puts the total magnetic moment at 6.45 μB/cell.

(9)
Compound: K2NaHgPt
Source: Alexandria
Functional: PBE
Structure: optimized geometry

```
data_K2NaHgPt
_chemical_formula_sum 'K2 Na1 Hg1 Pt1'
_cell_length_a 6.144
_cell_length_b 6.144
_cell_length_c 5.532
_cell_angle_alpha 90.00
_cell_angle_beta 90.00
_cell_angle_gamma 90.00
_symmetry_space_group_name_H-M 'P 4/m m m'
_symmetry_Int_Tables_number 123
_symmetry_space_group_name_Hall '-P 4 2'
loop_
_atom_site_label
_atom_site_type_symbol
_atom_site_fract_x
_atom_site_fract_y
_atom_site_fract_z
_atom_site_occupancy
K1 K 0.000 0.500 0.000 1
Na1 Na 0.000 0.000 0.500 1
Hg1 Hg 0.500 0.500 0.500 1
Pt1 Pt 0.000 0.000 0.000 1
```

Properties
The value obtained for the energy of formation is 0.0164 eV/atom. The calculation puts the density at 4.0 g cm⁻³. The calculation puts the total magnetic moment at 0.00 μB/cell.

(10)
Compound: Na2PmCdO4
Source: Alexandria
Functional: PBE
Structure: optimized geometry

```
data_Na2PmCdO4
_chemical_formula_sum 'Na2 Pm1 Cd1 O4'
_cell_length_a 5.836
_cell_length_b 3.503
_cell_length_c 6.002
_cell_angle_alpha 90.00
_cell_angle_beta 109.20
_cell_angle_gamma 90.00
_symmetry_space_group_name_H-M 'P 1 2/m 1'
_symmetry_Int_Tables_number 10
loop_
_symmetry_equiv_pos_as_xyz
'x,y,z'
'-x,-y,-z'
'-x,y,-z'
'x,-y,z'
loop_
_atom_site_label
_atom_site_type_symbol
_atom_site_fract_x
_atom_site_fract_y
_atom_site_fract_z
_atom_site_occupancy
Na1 Na 0.000 0.000 0.000 1
Na2 Na 0.500 0.500 0.000 1
Pm1 Pm 0.000 0.500 0.500 1
Cd1 Cd 0.500 0.000 0.500 1
O1 O 0.239 0.000 0.724 1
O2 O 0.262 0.500 0.271 1
```

Properties
The formation energy (no corrections) is -1.78 eV/atom. The calculation puts the density at 5.3 g cm⁻³. The calculation puts the total magnetic moment at 1.06 μB/cell.

(11)
Compound: MgZnGa2
Source: Alexandria
Functional: PBE
Structure: optimized geometry

```
data_MgZnGa2
_chemical_formula_sum 'Mg4 Zn4 Ga8'
_cell_length_a 6.642
_cell_length_b 6.642
_cell_length_c 6.642
_cell_angle_alpha 90.00
_cell_angle_beta 90.00
_cell_angle_gamma 90.00
_symmetry_space_group_name_H-M 'F m -3 m'
_symmetry_Int_Tables_number 225
_symmetry_space_group_name_Hall '-F 4 2 3'
loop_
_atom_site_label
_atom_site_type_symbol
_atom_site_fract_x
_atom_site_fract_y
_atom_site_fract_z
_atom_site_occupancy
Mg1 Mg 0.000 0.000 0.000 1
Zn1 Zn 0.000 0.000 0.500 1
Ga1 Ga 0.250 0.250 0.250 1
```

Properties
The value obtained for the energy of formation is -0.0011 eV/atom. The calculation puts the density at 5.2 g cm⁻³. The calculation puts the total magnetic moment at 0.00 μB/cell.

(12)
Compound: LiInAg2Au
Source: Alexandria
Functional: PBE
Structure: optimized geometry

```
data_LiInAg2Au
_chemical_formula_sum 'Li2 In2 Ag4 Au2'
_cell_length_a 5.282
_cell_length_b 4.786
_cell_length_c 7.614
_cell_angle_alpha 90.00
_cell_angle_beta 109.01
_cell_angle_gamma 90.00
_symmetry_space_group_name_H-M 'P 1 21/m 1'
_symmetry_Int_Tables_number 11
loop_
_symmetry_equiv_pos_as_xyz
'x,y,z'
'-x,-y,-z'
'-x,y+1/2,-z'
'x,-y+1/2,z'
loop_
_atom_site_label
_atom_site_type_symbol
_atom_site_fract_x
_atom_site_fract_y
_atom_site_fract_z
_atom_site_occupancy
Li1 Li 0.162 0.250 0.004 1
In1 In 0.245 0.750 0.789 1
Ag1 Ag 0.359 0.250 0.403 1
Ag2 Ag 0.417 0.750 0.187 1
Au1 Au 0.026 0.750 0.379 1
```

Properties
The value obtained for the energy of formation is -0.2034 eV/atom. The calculation puts the density at 9.8 g cm⁻³. The calculation puts the total magnetic moment at 0.00 μB/cell.

| no. | raw total energy (Ha/atom) |
| --- | --- |
| 1 | -0.1771 |
| 2 | -0.1961 |
| 3 | -0.1235 |
| 4 | -0.1658 |
| 5 | -0.2156 |
| 6 | -0.1344 |
| 7 | -0.2246 |
| 8 | -0.1631 |
| 9 | -0.0718 |
| 10 | -0.1948 |
| 11 | -0.0820 |
| 12 | -0.1077 |